(1)
PtW2Se: relaxed, PBE.

Cell lengths 3.026, 3.026, 6.851 Å; angles 90.00, 90.00, 89.99 degrees
Fractional coordinates of all 4 atoms:
Pt (0.500, 0.500, 0.250)
Se (0.500, 0.500, 0.750)
W (0.000, 0.000, 0.515)
W (0.000, 0.000, 0.985)

Summary:
DOS(E_F)	3.9	states/eV per cell
symmetry	P4/mmm, No. 123
ΔE_f (raw)	0.2290	eV/atom

=====

(2)
AlRu3N: relaxed, PBE.

Cell lengths 4.428, 4.428, 4.428 Å; angles 90.00, 90.00, 90.00 degrees
Site moments in Bohr magnetons follow the coordinates.
Fractional coordinates of all 5 atoms:
Ru (0.500, 0.000, 0.000)  0.81
Ru (0.000, 0.500, 0.000)  0.84
N (0.500, 0.500, 0.500)  -0.52
Al (0.000, 0.000, 0.000)  -0.02
Ru (0.000, 0.000, 0.500)  0.71

Summary:
DOS(E_F)	5.8	states/eV per cell
symmetry	Pm-3m, No. 221
ΔE_f (raw)	2.4317	eV/atom
polymorph energy (0 for the lowest one)	2518.3	meV per atom

=====

(3)
Ac2PuBi3: relaxed, PBE.

Cell lengths 8.268, 8.268, 15.093 Å; angles 100.50, 100.50, 109.54 degrees
Site moments in Bohr magnetons follow the coordinates.
Fractional coordinates of all 24 atoms:
Ac (0.998, 0.498, 0.996)  -0.02
Bi (0.484, 0.984, 0.500)  -0.10
Pu (0.166, 0.666, 0.333)  5.30
Pu (0.916, 0.916, 0.833)  5.30
Ac (0.252, 0.252, 0.504)  -0.02
Ac (0.748, 0.748, 0.496)  -0.02
Bi (0.587, 0.602, 0.672)  -0.10
Bi (0.085, 0.071, 0.672)  -0.10
Pu (0.334, 0.834, 0.667)  5.30
Bi (0.321, 0.835, 0.172)  -0.10
Bi (0.929, 0.915, 0.328)  -0.10
Bi (0.852, 0.337, 0.172)  -0.10
Bi (0.398, 0.413, 0.328)  -0.10
Ac (0.668, 0.168, 0.336)  -0.03
Bi (0.016, 0.516, 0.500)  -0.10
Bi (0.663, 0.148, 0.828)  -0.10
Pu (0.084, 0.084, 0.167)  5.30
Bi (0.234, 0.234, 0.000)  -0.10
Ac (0.418, 0.418, 0.836)  -0.03
Ac (0.502, 0.002, 0.004)  -0.02
Ac (0.832, 0.332, 0.664)  -0.03
Ac (0.582, 0.582, 0.164)  -0.03
Bi (0.165, 0.679, 0.828)  -0.10
Bi (0.766, 0.766, 0.000)  -0.10

Summary:
DOS(E_F)	70.7	states/eV per cell
symmetry	Fddd, No. 70
formation energy from the elements	-0.752	eV per atom